Record 1
First-principles (PBE) data for crystalline ScMnPt at its relaxed geometry, as listed in Alexandria via LeMat-Bulk.

Cell lengths 4.462, 4.462, 2.920 Å; angles 90.00, 90.00, 120.00 degrees
Fractional positions:
Sc (0.000, 0.000, 0.000)
Mn (0.667, 0.333, 0.392)
Pt (0.333, 0.667, 0.631)

## Properties
The calculation puts the electronic total energy at -7.673 eV per atom. The space group is P3m1, No. 156. As for the size of the total moment: 1.227 μB per atom.

=====

Record 2
First-principles (PBE) data for crystalline PrDy2Ho8 at its relaxed geometry, as listed in Alexandria via LeMat-Bulk.

Cell lengths 10.153, 10.153, 5.505 Å; angles 92.68, 92.68, 39.86 degrees
Fractional positions:
Pr (0.000, 0.000, 0.000)
Dy (0.284, 0.284, 0.750)
Dy (0.716, 0.716, 0.250)
Ho (0.133, 0.600, 0.268)
Ho (0.188, 0.188, 0.234)
Ho (0.400, 0.867, 0.732)
Ho (0.453, 0.453, 0.762)
Ho (0.547, 0.547, 0.238)
Ho (0.600, 0.133, 0.268)
Ho (0.812, 0.812, 0.766)
Ho (0.867, 0.400, 0.732)

## Properties
The calculation puts the electronic total energy at -4.453 eV per atom. As for the excess energy over the best structure of this formula in the dataset: 32 meV per atom. The space group is C2/m, No. 12. As for the size of the total moment: 0.000 μB per atom.

=====

Record 3
First-principles (PBE) data for crystalline CrRe2Se2 at its relaxed geometry, as listed in Alexandria via LeMat-Bulk.

Cell lengths 7.280, 7.280, 3.006 Å; angles 90.00, 90.00, 90.00 degrees
Fractional positions:
Cr (0.000, 0.000, 0.000)
Cr (0.500, 0.500, 0.000)
Re (0.153, 0.347, 0.500)
Re (0.347, 0.847, 0.500)
Re (0.653, 0.153, 0.500)
Re (0.847, 0.653, 0.500)
Se (0.151, 0.651, 0.000)
Se (0.349, 0.151, 0.000)
Se (0.651, 0.849, 0.000)
Se (0.849, 0.349, 0.000)

## Properties
The calculation puts the electronic total energy at -7.487 eV per atom. As for the excess energy over the best structure of this formula in the dataset: 98 meV per atom. The space group is P4/mbm, No. 127. The formation energy from raw total energies comes out at 0.811 eV/atom. As for the size of the total moment: 0.618 μB per atom.

=====

Record 4
First-principles (PBE) data for crystalline RbHgBrCl2 at its relaxed geometry, as listed in Alexandria via LeMat-Bulk.

Cell lengths 5.379, 5.379, 5.613 Å; angles 90.00, 90.00, 90.00 degrees
Fractional positions:
Rb (0.000, 0.000, 0.000)
Hg (0.500, 0.500, 0.500)
Br (0.500, 0.500, 0.000)
Cl (0.000, 0.500, 0.500)
Cl (0.500, 0.000, 0.500)

## Properties
The calculation puts the electronic total energy at -2.381 eV per atom. As for the excess energy over the best structure of this formula in the dataset: 34 meV per atom. The space group is P4/mmm, No. 123. The formation energy from raw total energies comes out at -1.054 eV/atom. As for the size of the total moment: 0.000 μB per atom.

=====

Record 5
First-principles (PBE) data for crystalline Mg3GePd at its relaxed geometry, as listed in Alexandria via LeMat-Bulk.

Cell lengths 4.935, 4.935, 4.935 Å; angles 90.00, 90.00, 90.00 degrees
Fractional positions:
Mg (0.000, 0.000, 0.500)
Mg (0.000, 0.500, 0.000)
Mg (0.500, 0.000, 0.000)
Ge (0.000, 0.000, 0.000)
Pd (0.500, 0.500, 0.500)

## Properties
The calculation puts the electronic total energy at -2.734 eV per atom. As for the excess energy over the best structure of this formula in the dataset: 533 meV per atom. The space group is Pm-3m, No. 221. As for the size of the total moment: 0.000 μB per atom.

=====

Record 6
First-principles (PBE) data for crystalline NaY2BiO at its relaxed geometry, as listed in Alexandria via LeMat-Bulk.

Cell lengths 4.757, 4.757, 4.891 Å; angles 90.00, 90.00, 90.00 degrees
Fractional positions:
Na (0.000, 0.000, 0.000)
Y (0.000, 0.500, 0.500)
Y (0.500, 0.000, 0.500)
Bi (0.500, 0.500, 0.000)
O (0.000, 0.000, 0.500)

## Properties
The calculation puts the electronic total energy at -5.949 eV per atom. The space group is P4/mmm, No. 123. The formation energy from raw total energies comes out at -1.331 eV/atom. As for the size of the total moment: 0.041 μB per atom.

=====

Record 7
First-principles (PBE) data for crystalline IrOs2W at its relaxed geometry, as listed in Alexandria via LeMat-Bulk.

Cell lengths 2.757, 3.879, 5.552 Å; angles 90.00, 90.00, 90.00 degrees
Fractional positions:
Ir (0.000, 0.000, 0.000)
Os (0.000, 0.000, 0.486)
Os (0.500, 0.500, 0.265)
W (0.500, 0.500, 0.748)

## Properties
The calculation puts the electronic total energy at -11.098 eV per atom. As for the excess energy over the best structure of this formula in the dataset: 93 meV per atom. The space group is Pmm2, No. 25. As for the size of the total moment: 0.000 μB per atom.

=====

Record 8
First-principles (PBE) data for crystalline Be2Bi2Pb at its relaxed geometry, as listed in Alexandria via LeMat-Bulk.

Cell lengths 9.882, 9.882, 9.882 Å; angles 159.09, 159.09, 29.74 degrees
Fractional positions:
Be (0.250, 0.750, 0.500)
Be (0.750, 0.250, 0.500)
Bi (0.148, 0.148, 0.000)
Bi (0.852, 0.852, 0.000)
Pb (0.500, 0.500, 0.000)

## Properties
The calculation puts the electronic total energy at -3.432 eV per atom. The space group is I4/mmm, No. 139. As for the size of the total moment: 0.000 μB per atom.

=====

Record 9
First-principles (PBE) data for crystalline Sm8Sb5Te at its relaxed geometry, as listed in Alexandria via LeMat-Bulk.

Cell lengths 8.128, 8.128, 8.128 Å; angles 109.53, 109.53, 109.36 degrees
Fractional positions:
Sm (0.126, 0.232, 0.751)
Sm (0.128, 0.737, 0.753)
Sm (0.263, 0.016, 0.392)
Sm (0.481, 0.375, 0.249)
Sm (0.625, 0.872, 0.608)
Sm (0.625, 0.874, 0.106)
Sm (0.768, 0.519, 0.894)
Sm (0.984, 0.375, 0.247)
Sb (0.000, 0.000, 0.000)
Sb (0.251, 0.626, 0.125)
Sb (0.374, 0.499, 0.625)
Sb (0.501, 0.126, 0.875)
Sb (0.874, 0.749, 0.375)
Te (0.750, 0.250, 0.500)

## Properties
The calculation puts the electronic total energy at -5.465 eV per atom. The space group is I-4, No. 82. The formation energy from raw total energies comes out at -1.072 eV/atom. As for the size of the total moment: 0.000 μB per atom.

=====

Record 10
First-principles (PBE) data for crystalline Tb3Y2TmS6 at its relaxed geometry, as listed in Alexandria via LeMat-Bulk.

Cell lengths 8.734, 8.734, 7.852 Å; angles 103.12, 103.12, 25.80 degrees
Fractional positions:
Tb (0.000, 0.000, 0.000)
Tb (0.332, 0.332, 0.667)
Tb (0.668, 0.668, 0.333)
Y (0.333, 0.333, 0.166)
Y (0.667, 0.667, 0.834)
Tm (0.000, 0.000, 0.500)
S (0.164, 0.164, 0.583)
S (0.167, 0.167, 0.083)
S (0.500, 0.500, 0.256)
S (0.500, 0.500, 0.744)
S (0.833, 0.833, 0.917)
S (0.836, 0.836, 0.417)

## Properties
The calculation puts the electronic total energy at -6.664 eV per atom. The space group is C2/m, No. 12. The formation energy from raw total energies comes out at -1.993 eV/atom. As for the size of the total moment: 0.000 μB per atom.

=====

Record 11
First-principles (PBE) data for crystalline K2AsPb at its relaxed geometry, as listed in Alexandria via LeMat-Bulk.

Cell lengths 6.340, 6.340, 6.340 Å; angles 135.43, 135.30, 64.96 degrees
Fractional positions:
K (0.250, 0.250, 0.000)
K (0.750, 0.750, 0.000)
As (0.500, 0.000, 0.500)
Pb (0.000, 0.500, 0.500)

## Properties
The calculation puts the electronic total energy at -2.728 eV per atom. As for the excess energy over the best structure of this formula in the dataset: 225 meV per atom. The space group is Immm, No. 71. As for the size of the total moment: 0.145 μB per atom.

=====

Record 12
First-principles (PBE) data for crystalline ZnCIO2 at its relaxed geometry, as listed in Alexandria via LeMat-Bulk.

Cell lengths 3.684, 3.684, 7.461 Å; angles 90.00, 90.00, 90.00 degrees
Fractional positions:
Zn (0.000, 0.000, 0.000)
C (0.500, 0.500, 0.500)
I (0.000, 0.000, 0.500)
O (0.000, 0.500, 0.000)
O (0.500, 0.000, 0.000)

## Properties
The calculation puts the electronic total energy at -3.340 eV per atom. As for the excess energy over the best structure of this formula in the dataset: 0 meV per atom. The space group is P4/mmm, No. 123. The formation energy from raw total energies comes out at 1.053 eV/atom. As for the size of the total moment: 0.411 μB per atom.

=====

size of the total moment of number 2 (PrDy2Ho8)?
0.000 μB per atom

=====

Look up the electronic total energy of the second one.
-4.453 eV per atom